1.
This record from the Alexandria database describes an optimized crystal structure of LaOs. The functional is PBE-GGA.

Cell lengths 4.212, 4.980, 9.594 Å; angles 90.00, 90.00, 90.00 degrees
Space group Imma (No. 74)
Symmetry-distinct sites (fractional):
La 0.000 0.250 0.100 (multiplicity 4)
Os 0.000 0.250 0.694 (multiplicity 4)

E	-15.9	eV/f.u.

2.
This record from the Alexandria database describes an optimized crystal structure of LaOs3. The functional is PBE-GGA.

Cell lengths 2.889, 9.644, 5.027 Å; angles 90.00, 90.00, 90.00 degrees
Space group Imm2 (No. 44)
Symmetry-distinct sites (fractional):
La 0.000 0.000 0.000 (multiplicity 2)
Os 0.000 0.227 0.628 (multiplicity 4)
Os 0.000 0.500 0.985 (multiplicity 2)

E	-36.5	eV/f.u.

Taking the records one at a time from the top gives formation enthalpy at 0 K values of 0.11; 0.53 eV/atom.